Below is a relaxed structure of Y2MgTc, with properties calculated at the GGA-PBE level.

Cell: 6.9670 6.9843 3.7746 Å, 90.00 90.00 90.00°
Space group Cmmm (No. 65)
Symmetry-distinct sites (fractional):
Y (0.2500, 0.2500, 0.0000) (multiplicity 4)
Mg (0.0000, 0.0000, 0.5000) (multiplicity 2)
Tc (0.0000, 0.5000, 0.5000) (multiplicity 2)

Values from the calculation:
* V: 183.67 Å³ per cell
* D(E_F): 9.7 states/eV/cell
* DFT formation energy: 0.08 eV per atom